## Ti2MnH6 (PBE-GGA)

Data for an optimized crystal structure of Ti2MnH6.

```
data_Ti2MnH6
_space_group_name_H-M_alt 'P 1'
_space_group_IT_number 1
_cell_length_a 3.090
_cell_length_b 4.241
_cell_length_c 5.301
_cell_angle_alpha 113.58
_cell_angle_beta 107.03
_cell_angle_gamma 90.00
loop_
_space_group_symop_operation_xyz
'x,y,z'
loop_
_atom_site_label
_atom_site_type_symbol
_atom_site_fract_x
_atom_site_fract_y
_atom_site_fract_z
Ti1 Ti 0.336 0.336 0.672
Ti2 Ti 0.664 0.664 0.328
Mn1 Mn 0.000 0.000 0.000
H1 H 0.837 0.079 0.674
H2 H 0.163 0.405 0.326
H3 H 0.163 0.921 0.326
H4 H 0.500 0.232 0.000
H5 H 0.837 0.595 0.674
H6 H 0.500 0.768 0.000
```

Calculated values
magnetic moment	2.3	μB per cell
DFT total energy	-5.33	eV per atom
space group	C2/m, No. 12

---

## Y2CrSe (PBE-GGA)

Data for an optimized crystal structure of Y2CrSe.

```
data_Y2CrSe
_space_group_name_H-M_alt 'P 1'
_space_group_IT_number 1
_cell_length_a 5.377
_cell_length_b 5.377
_cell_length_c 5.377
_cell_angle_alpha 127.43
_cell_angle_beta 127.43
_cell_angle_gamma 77.54
loop_
_space_group_symop_operation_xyz
'x,y,z'
loop_
_atom_site_label
_atom_site_type_symbol
_atom_site_fract_x
_atom_site_fract_y
_atom_site_fract_z
Cr1 Cr 0.250 0.750 0.500
Se1 Se 0.750 0.250 0.500
Y1 Y 0.000 0.000 0.000
Y2 Y 0.500 0.500 0.000
```

Calculated values
uncorrected formation energy	-0.22	eV/atom
magnetic moment	4.2	μB per cell
DFT total energy	-6.73	eV per atom
space group	I4/mmm, No. 139

---

## Sr5Si2Pb (PBE-GGA)

Data for an optimized crystal structure of Sr5Si2Pb.

```
data_Sr5Si2Pb
_space_group_name_H-M_alt 'P 1'
_space_group_IT_number 1
_cell_length_a 8.242
_cell_length_b 8.242
_cell_length_c 10.005
_cell_angle_alpha 114.33
_cell_angle_beta 114.33
_cell_angle_gamma 90.00
loop_
_space_group_symop_operation_xyz
'x,y,z'
loop_
_atom_site_label
_atom_site_type_symbol
_atom_site_fract_x
_atom_site_fract_y
_atom_site_fract_z
Sr1 Sr 0.542 0.687 0.730
Sr2 Sr 0.813 0.958 0.270
Sr3 Sr 0.000 0.000 0.000
Sr4 Sr 0.500 0.500 0.000
Sr5 Sr 0.187 0.042 0.730
Sr6 Sr 0.687 0.187 0.730
Sr7 Sr 0.042 0.542 0.730
Sr8 Sr 0.313 0.813 0.270
Sr9 Sr 0.958 0.458 0.270
Sr10 Sr 0.458 0.313 0.270
Si1 Si 0.108 0.392 0.000
Si2 Si 0.608 0.108 0.000
Si3 Si 0.392 0.892 0.000
Si4 Si 0.892 0.608 0.000
Pb1 Pb 0.750 0.750 0.500
Pb2 Pb 0.250 0.250 0.500
```

Calculated values
uncorrected formation energy	-0.49	eV/atom
magnetic moment	0.0	μB per cell
DFT total energy	-3.36	eV per atom
space group	I4/mcm, No. 140

---

## TaVSn (PBE-GGA)

Data for an optimized crystal structure of TaVSn.

```
data_TaVSn
_space_group_name_H-M_alt 'P 1'
_space_group_IT_number 1
_cell_length_a 2.927
_cell_length_b 4.584
_cell_length_c 4.584
_cell_angle_alpha 120.00
_cell_angle_beta 90.00
_cell_angle_gamma 90.00
loop_
_space_group_symop_operation_xyz
'x,y,z'
loop_
_atom_site_label
_atom_site_type_symbol
_atom_site_fract_x
_atom_site_fract_y
_atom_site_fract_z
V1 V 0.682 0.333 0.667
Sn1 Sn 0.367 0.667 0.333
Ta1 Ta 0.950 0.000 0.000
```

Calculated values
magnetic moment	0.0	μB per cell
DFT total energy	-8.18	eV per atom
space group	P3m1, No. 156
calculated formation energy	0.14	eV per atom